DFT (PBE-GGA) results for crystalline KRePb2 at its relaxed geometry.

Results
The size of the total moment is 0.4 Bohr magnetons per cell. The calculation puts the density of states at the Fermi level at 3.90 states/eV per cell. As for the formation enthalpy at 0 K: 973 meV/atom. The energy above the most stable polymorph in this dataset comes out at 495 meV per atom. For the density, the calculation gives 9.49 g/cm3.

a b c (Å): 3.064 3.064 11.918
angles (deg): 90.00 90.00 90.00
Sites, in units of the cell vectors:
1 K 0.500 0.500 0.717
2 Pb 0.000 0.000 0.993
3 Pb 0.500 0.500 0.305
4 Re 0.000 0.000 0.485